[1]
Computed, not measured: Tm3Tl2Pb3 after structural relaxation at the PBE-GGA level of DFT.

Cell and atoms, written as POSCAR:
```
Tm3Tl2Pb3
1.0
-3.147 -0.505 -1.585
2.490 -2.574 -4.124
-0.867 -8.598 8.461
Pb Tm Tl
3 3 2
Cartesian
-0.634 -4.129 -1.422
-1.574 -0.253 -0.793
-0.890 -7.548 4.174
-0.292 -2.479 1.371
-1.232 -9.198 1.381
1.245 -1.287 -2.062
-2.154 -5.172 1.928
0.629 -6.506 0.824
```

Its symmetry is No. 71. The value obtained for the total magnetization is 0.00 μB/cell. The calculated formation energy comes out at -0.2349 eV/atom. For the volume, the calculation gives 28.31 Å³ per atom. For the total energy, the calculation gives -0.1431 Ha/atom.

***

[2]
Computed, not measured: LaMgIr2 after structural relaxation at the PBE-GGA level of DFT.

Cell and atoms, written as POSCAR:
```
LaMgIr2
1.0
5.447 0.001 0.000
2.372 4.903 0.000
-3.909 -2.452 2.893
La Ir Mg
1 2 1
Cartesian
3.909 2.452 0.000
0.000 0.000 0.000
1.186 2.452 1.447
2.723 0.000 1.447
```

Its symmetry is No. 119. The value obtained for the total magnetization is 0.00 μB/cell. The calculated formation energy comes out at -0.1942 eV/atom. For the volume, the calculation gives 19.32 Å³ per atom. For the total energy, the calculation gives -0.2299 Ha/atom.

***

[3]
Computed, not measured: AsRu2Au after structural relaxation at the PBE-GGA level of DFT.

Cell and atoms, written as POSCAR:
```
AsRu2Au
1.0
-8.221 1.294 1.917
-8.398 1.188 -0.997
-8.425 -1.285 0.559
Au Ru As
1 2 1
Cartesian
-18.783 0.897 1.109
-24.781 1.184 1.463
-12.786 0.611 0.755
-6.261 0.299 0.370
```

Its symmetry is No. 166. The value obtained for the total magnetization is 0.00 μB/cell. The calculated formation energy comes out at 0.1688 eV/atom. For the volume, the calculation gives 15.48 Å³ per atom. For the total energy, the calculation gives -0.2371 Ha/atom.

***

[4]
Computed, not measured: PrNd12Th5 after structural relaxation at the PBE-GGA level of DFT.

Cell and atoms, written as POSCAR:
```
PrNd12Th5
1.0
5.491 3.163 0.189
-5.491 3.163 0.189
0.000 1.030 17.925
Nd Th Pr
12 5 1
Cartesian
0.000 1.396 11.913
1.869 5.080 3.197
-1.869 2.275 15.105
1.869 2.275 15.105
-1.869 5.080 3.197
0.000 1.984 3.016
0.000 5.960 6.390
-1.833 2.799 6.233
1.833 4.556 12.070
1.833 2.799 6.233
0.000 5.372 15.287
-1.833 4.556 12.070
0.000 3.678 9.151
3.667 3.678 9.151
-1.829 3.163 0.189
-3.667 3.678 9.151
1.829 3.163 0.189
0.000 0.000 0.000
```

Its symmetry is No. 12. The value obtained for the total magnetization is 0.00 μB/cell. The calculated formation energy comes out at 0.0302 eV/atom. For the volume, the calculation gives 34.47 Å³ per atom. For the total energy, the calculation gives -0.2012 Ha/atom.